[1]
Below is crystalline SrCd3Ga at its relaxed geometry, with properties calculated at the GGA-PBE level.

Calculated values
ΔE to the lowest computed polymorph	0.000	eV per formula unit
DFT formation energy	-291.4	meV per atom
calculated density	6.4	g/cm3

CIF file:
```
data_SrCd3Ga
_chemical_formula_sum 'Sr2 Cd6 Ga2'
_cell_length_a 4.626
_cell_length_b 4.626
_cell_length_c 12.022
_cell_angle_alpha 90.00
_cell_angle_beta 90.00
_cell_angle_gamma 90.00
_space_group_name_H-M_alt 'I 4 m m'
_space_group_IT_number 107
_space_group_name_Hall 'I 4 -2'
loop_
_atom_site_label
_atom_site_type_symbol
_atom_site_fract_x
_atom_site_fract_y
_atom_site_fract_z
Sr1 Sr 0.000 0.000 0.000
Cd1 Cd 0.000 0.000 0.612
Cd2 Cd 0.000 0.500 0.261
Ga1 Ga 0.000 0.000 0.390
```



[2]
Below is crystalline Sr2CdGa at its relaxed geometry, with properties calculated at the GGA-PBE level.

Calculated values
DFT formation energy	30.8	meV per atom
calculated density	3.6	g/cm3

CIF file:
```
data_Sr2CdGa
_chemical_formula_sum 'Sr6 Cd3 Ga3'
_cell_length_a 4.1235
_cell_length_b 4.1235
_cell_length_c 33.8568
_cell_angle_alpha 90.00
_cell_angle_beta 90.00
_cell_angle_gamma 120.00
_space_group_name_H-M_alt 'R -3 m'
_space_group_IT_number 166
_space_group_name_Hall '-R 3 2"'
loop_
_atom_site_label
_atom_site_type_symbol
_atom_site_fract_x
_atom_site_fract_y
_atom_site_fract_z
Sr1 Sr 0.0000 0.0000 0.1029
Cd1 Cd 0.0000 0.0000 0.0000
Ga1 Ga 0.0000 0.0000 0.5000
```



[3]
Below is crystalline SrCd6Ga2 at its relaxed geometry, with properties calculated at the GGA-PBE level.

Calculated values
DFT formation energy	-185.6	meV per atom
calculated density	7.2	g/cm3

CIF file:
```
data_SrCd6Ga2
_chemical_formula_sum 'Sr1 Cd6 Ga2'
_cell_length_a 4.524
_cell_length_b 4.524
_cell_length_c 10.183
_cell_angle_alpha 90.00
_cell_angle_beta 90.00
_cell_angle_gamma 90.00
_space_group_name_H-M_alt 'P 4/m m m'
_space_group_IT_number 123
_space_group_name_Hall '-P 4 2'
loop_
_atom_site_label
_atom_site_type_symbol
_atom_site_fract_x
_atom_site_fract_y
_atom_site_fract_z
Sr1 Sr 0.000 0.000 0.000
Cd1 Cd 0.000 0.000 0.500
Cd2 Cd 0.000 0.500 0.283
Cd3 Cd 0.500 0.500 0.500
Ga1 Ga 0.500 0.500 0.123
```



[4]
Below is crystalline Sr2CdGa7 at its relaxed geometry, with properties calculated at the GGA-PBE level.

Calculated values
DFT formation energy	-395.0	meV per atom
calculated density	5.8	g/cm3

CIF file:
```
data_Sr2CdGa7
_chemical_formula_sum 'Sr2 Cd1 Ga7'
_cell_length_a 4.473
_cell_length_b 4.473
_cell_length_c 11.159
_cell_angle_alpha 90.00
_cell_angle_beta 90.00
_cell_angle_gamma 90.00
_space_group_name_H-M_alt 'P -4 m 2'
_space_group_IT_number 115
_space_group_name_Hall 'P -4 -2'
loop_
_atom_site_label
_atom_site_type_symbol
_atom_site_fract_x
_atom_site_fract_y
_atom_site_fract_z
Sr1 Sr 0.000 0.500 0.247
Cd1 Cd 0.000 0.000 0.500
Ga1 Ga 0.000 0.000 0.000
Ga2 Ga 0.000 0.500 0.640
Ga3 Ga 0.000 0.500 0.868
Ga4 Ga 0.500 0.500 0.000
Ga5 Ga 0.500 0.500 0.500
```



[5]
Below is crystalline Sr5CdGa4 at its relaxed geometry, with properties calculated at the GGA-PBE level.

Calculated values
DFT formation energy	-353.9	meV per atom
calculated density	4.5	g/cm3

CIF file:
```
data_Sr5CdGa4
_chemical_formula_sum 'Sr5 Cd1 Ga4'
_cell_length_a 3.943
_cell_length_b 3.943
_cell_length_c 19.543
_cell_angle_alpha 90.00
_cell_angle_beta 90.00
_cell_angle_gamma 90.00
_space_group_name_H-M_alt 'P 4/m m m'
_space_group_IT_number 123
_space_group_name_Hall '-P 4 2'
loop_
_atom_site_label
_atom_site_type_symbol
_atom_site_fract_x
_atom_site_fract_y
_atom_site_fract_z
Sr1 Sr 0.000 0.000 0.000
Sr2 Sr 0.000 0.000 0.197
Sr3 Sr 0.000 0.000 0.391
Cd1 Cd 0.500 0.500 0.500
Ga1 Ga 0.500 0.500 0.100
Ga2 Ga 0.500 0.500 0.292
```



[6]
Below is crystalline SrCdGa2 at its relaxed geometry, with properties calculated at the GGA-PBE level.

Calculated values
DFT formation energy	-295.4	meV per atom
calculated density	5.5	g/cm3

CIF file:
```
data_SrCdGa2
_chemical_formula_sum 'Sr3 Cd3 Ga6'
_cell_length_a 4.6257
_cell_length_b 4.6257
_cell_length_c 16.6634
_cell_angle_alpha 90.00
_cell_angle_beta 90.00
_cell_angle_gamma 120.00
_space_group_name_H-M_alt 'R -3 m'
_space_group_IT_number 166
_space_group_name_Hall '-R 3 2"'
loop_
_atom_site_label
_atom_site_type_symbol
_atom_site_fract_x
_atom_site_fract_y
_atom_site_fract_z
Sr1 Sr 0.0000 0.0000 0.0000
Cd1 Cd 0.0000 0.0000 0.5000
Ga1 Ga 0.0000 0.0000 0.2180
```



[7]
Below is crystalline Sr6CdGa at its relaxed geometry, with properties calculated at the GGA-PBE level.

Calculated values
DFT formation energy	-179.6	meV per atom
calculated density	3.4	g/cm3

CIF file:
```
data_Sr6CdGa
_chemical_formula_sum 'Sr12 Cd2 Ga2'
_cell_length_a 5.762
_cell_length_b 5.762
_cell_length_c 20.612
_cell_angle_alpha 90.00
_cell_angle_beta 90.00
_cell_angle_gamma 90.00
_space_group_name_H-M_alt 'I 4/m m m'
_space_group_IT_number 139
_space_group_name_Hall '-I 4 2'
loop_
_atom_site_label
_atom_site_type_symbol
_atom_site_fract_x
_atom_site_fract_y
_atom_site_fract_z
Sr1 Sr 0.000 0.000 0.249
Sr2 Sr 0.000 0.500 0.092
Cd1 Cd 0.000 0.000 0.500
Ga1 Ga 0.000 0.000 0.000
```



[8]
Below is crystalline SrCdGa at its relaxed geometry, with properties calculated at the GGA-PBE level.

Calculated values
DFT formation energy	-237.0	meV per atom
calculated density	5.4	g/cm3

CIF file:
```
data_SrCdGa
_chemical_formula_sum 'Sr2 Cd2 Ga2'
_cell_length_a 3.751
_cell_length_b 3.751
_cell_length_c 11.695
_cell_angle_alpha 90.00
_cell_angle_beta 90.00
_cell_angle_gamma 90.00
_space_group_name_H-M_alt 'I 4 m m'
_space_group_IT_number 107
_space_group_name_Hall 'I 4 -2'
loop_
_atom_site_label
_atom_site_type_symbol
_atom_site_fract_x
_atom_site_fract_y
_atom_site_fract_z
Sr1 Sr 0.000 0.000 0.000
Cd1 Cd 0.000 0.000 0.694
Ga1 Ga 0.000 0.000 0.316
```



[9]
Below is crystalline Sr6CdGa2 at its relaxed geometry, with properties calculated at the GGA-PBE level.

Calculated values
DFT formation energy	-238.5	meV per atom
calculated density	3.6	g/cm3

CIF file:
```
data_Sr6CdGa2
_chemical_formula_sum 'Sr24 Cd4 Ga8'
_cell_length_a 10.883
_cell_length_b 11.093
_cell_length_c 11.771
_cell_angle_alpha 90.00
_cell_angle_beta 90.00
_cell_angle_gamma 90.00
_space_group_name_H-M_alt 'I m m m'
_space_group_IT_number 71
_space_group_name_Hall '-I 2 2'
loop_
_atom_site_label
_atom_site_type_symbol
_atom_site_fract_x
_atom_site_fract_y
_atom_site_fract_z
Sr1 Sr 0.000 0.192 0.248
Sr2 Sr 0.181 0.500 0.166
Sr3 Sr 0.229 0.322 0.500
Cd1 Cd 0.000 0.000 0.000
Cd2 Cd 0.000 0.000 0.500
Ga1 Ga 0.000 0.330 0.000
Ga2 Ga 0.000 0.500 0.393
```



[10]
Below is crystalline SrCd5Ga2 at its relaxed geometry, with properties calculated at the GGA-PBE level.

Calculated values
DFT formation energy	-195.9	meV per atom
calculated density	6.8	g/cm3

CIF file:
```
data_SrCd5Ga2
_chemical_formula_sum 'Sr2 Cd10 Ga4'
_cell_length_a 4.459
_cell_length_b 8.080
_cell_length_c 10.625
_cell_angle_alpha 90.00
_cell_angle_beta 90.00
_cell_angle_gamma 90.00
_space_group_name_H-M_alt 'I m m m'
_space_group_IT_number 71
_space_group_name_Hall '-I 2 2'
loop_
_atom_site_label
_atom_site_type_symbol
_atom_site_fract_x
_atom_site_fract_y
_atom_site_fract_z
Sr1 Sr 0.000 0.000 0.000
Cd1 Cd 0.000 0.189 0.356
Cd2 Cd 0.000 0.500 0.000
Ga1 Ga 0.000 0.500 0.258
```



[11]
Below is crystalline SrCd12Ga6 at its relaxed geometry, with properties calculated at the GGA-PBE level.

Calculated values
DFT formation energy	16.8	meV per atom
calculated density	6.7	g/cm3

CIF file:
```
data_SrCd12Ga6
_chemical_formula_sum 'Sr3 Cd36 Ga18'
_cell_length_a 13.6131
_cell_length_b 13.6131
_cell_length_c 8.5836
_cell_angle_alpha 90.00
_cell_angle_beta 90.00
_cell_angle_gamma 120.00
_space_group_name_H-M_alt 'R -3 m'
_space_group_IT_number 166
_space_group_name_Hall '-R 3 2"'
loop_
_atom_site_label
_atom_site_type_symbol
_atom_site_fract_x
_atom_site_fract_y
_atom_site_fract_z
Sr1 Sr 0.0000 0.0000 0.0000
Cd1 Cd 0.0000 0.3939 0.5000
Cd2 Cd 0.0743 0.1485 0.3435
Ga1 Ga 0.0020 0.5010 0.2085
```



[12]
Below is crystalline Sr2Cd3Ga2 at its relaxed geometry, with properties calculated at the GGA-PBE level.

Calculated values
ΔE to the lowest computed polymorph	0.000	eV per formula unit
DFT formation energy	-292.2	meV per atom
calculated density	5.6	g/cm3

CIF file:
```
data_Sr2Cd3Ga2
_chemical_formula_sum 'Sr8 Cd12 Ga8'
_cell_length_a 4.658
_cell_length_b 21.408
_cell_length_c 7.766
_cell_angle_alpha 90.00
_cell_angle_beta 90.00
_cell_angle_gamma 90.00
_space_group_name_H-M_alt 'C m c m'
_space_group_IT_number 63
_space_group_name_Hall '-C 2c 2'
loop_
_atom_site_label
_atom_site_type_symbol
_atom_site_fract_x
_atom_site_fract_y
_atom_site_fract_z
Sr1 Sr 0.000 0.055 0.250
Sr2 Sr 0.000 0.168 0.750
Cd1 Cd 0.000 0.219 0.250
Cd2 Cd 0.000 0.438 0.069
Ga1 Ga 0.000 0.319 0.570
```